Ac8Ru3Pb2: optimized geometry, GGA-PBE.

abc: 7.4075 8.2738 9.3757
angles: 116.18 92.61 90.00
Fractional coordinates of all 13 atoms:
Ac 0.1488 0.3815 0.7630
Ac 0.8512 0.6185 0.2370
Ac 0.1551 0.9057 0.8113
Ac 0.8449 0.0943 0.1887
Ac 0.3365 0.8406 0.1877
Ac 0.3365 0.3471 0.1877
Ac 0.6635 0.6529 0.8123
Ac 0.6635 0.1594 0.8123
Ru 0.5000 0.0000 0.0000
Ru 0.0000 0.2894 0.0000
Ru 0.0000 0.7106 0.0000
Pb 0.4879 0.7518 0.5037
Pb 0.5121 0.2482 0.4963

Computed properties:
The calculation puts the density at 8.2 g/cm³. For the formation energy, the calculation gives -0.18 eV/atom. The total DFT energy (no corrections) comes out at -0.1992 Ha/atom. The density of states at the Fermi level is 8.6 states/eV/cell. As for the space group: C2/m (12).